A geometry-optimized Ba3PrCu2O6 structure, computed with PBE-GGA.

a = 6.3121 Å, b = 6.3121 Å, c = 6.9848 Å
α = 90.00°, β = 90.00°, γ = 120.00°
Last column: nearest neighbours and their distance in Å.
Space group P-3m1 (No. 164)
Asymmetric unit:
Ba (0.0000, 0.0000, 0.0000)  6 O 2.74
Ba (0.3333, 0.6667, 0.6571)  1 Cu 3.12, 9 O 3.13-3.18
Pr (0.0000, 0.0000, 0.5000)  6 O 2.34
Cu (0.3333, 0.6667, 0.2111)  3 O 1.90
O (0.1676, 0.3352, 0.2913)  1 Cu 1.90

## Properties
Calculated total energy (eV/atom): -5.9562
Total moment (μB per formula unit): 1.078


A geometry-optimized Ba2PrCu3O6 structure, computed with PBE-GGA.

a = 3.9327 Å, b = 3.9327 Å, c = 12.2084 Å
α = 90.00°, β = 90.00°, γ = 90.00°
Last column: nearest neighbours and their distance in Å.
Space group P4/mmm (No. 123)
Asymmetric unit:
Ba (0.0000, 0.0000, 0.1938)  8 O 2.84-2.93
Pr (0.0000, 0.0000, 0.5000)  8 O 2.51
Cu (0.5000, 0.5000, 0.0000)  2 O 1.81
Cu (0.5000, 0.5000, 0.3596)  4 O 1.97
O (0.0000, 0.5000, 0.3720)  2 Cu 1.97
O (0.5000, 0.5000, 0.1480)  1 Cu 1.81

## Properties
Calculated total energy (eV/atom): -6.0666
Total moment (μB per formula unit): 0.133


A geometry-optimized Ba6Pr2YCu12O24 structure, computed with PBE-GGA.

a = 8.7836 Å, b = 27.6992 Å, c = 5.5516 Å
α = 90.00°, β = 108.96°, γ = 90.00°
Last column: nearest neighbours and their distance in Å.
Space group C2/m (No. 12)
Asymmetric unit:
Ba (0.0000, 0.1355, 0.0000)  10 O 2.78-3.05
Ba (0.1663, 0.3631, 0.3333)  10 O 2.78-3.08
Pr (0.1677, 0.5000, 0.3340)  8 O 2.49-2.51
Y (0.0000, 0.0000, 0.0000)  8 O 2.42-2.43
Cu (0.0000, 0.0632, 0.5000)  4 O 1.97-1.98
Cu (0.0000, 0.2124, 0.5000)  4 O 1.85-1.96
Cu (0.1673, 0.2874, 0.8332)  4 O 1.85-1.96
Cu (0.1679, 0.4360, 0.8341)  4 O 1.97-1.99
O (0.0000, 0.1457, 0.5000)  1 Cu 1.85
O (0.0000, 0.2808, 0.5000)  3 Cu 1.90-1.96
O (0.0000, 0.4431, 0.0000)  2 Cu 1.99
O (0.0000, 0.4446, 0.5000)  2 Cu 1.97
O (0.1623, 0.0530, 0.8368)  2 Cu 1.97
O (0.1628, 0.0545, 0.3261)  2 Cu 1.98
O (0.1673, 0.2191, 0.8325)  3 Cu 1.89-1.96
O (0.1670, 0.3541, 0.8335)  1 Cu 1.85

## Properties
Calculated total energy (eV/atom): -5.9908
Total moment (μB per formula unit): 0.000


A geometry-optimized Ba4PrYCu6O14 structure, computed with PBE-GGA.

a = 3.8684 Å, b = 3.9379 Å, c = 23.7807 Å
α = 90.00°, β = 90.00°, γ = 90.00°
Last column: nearest neighbours and their distance in Å.
Space group Pmmm (No. 47)
Asymmetric unit:
Ba (0.0000, 0.0000, 0.1584)  10 O 2.77-3.06
Ba (0.0000, 0.0000, 0.3379)  10 O 2.77-3.04
Pr (0.0000, 0.0000, 0.5000)  8 O 2.49-2.50
Y (0.0000, 0.0000, 0.0000)  8 O 2.41-2.43
Cu (0.5000, 0.5000, 0.0731)  4 O 1.96-1.99
Cu (0.5000, 0.5000, 0.2480)  4 O 1.88-1.97
Cu (0.5000, 0.5000, 0.4221)  4 O 1.96-1.99
O (0.0000, 0.5000, 0.0598)  2 Cu 1.96
O (0.0000, 0.5000, 0.4351)  2 Cu 1.96
O (0.5000, 0.0000, 0.0603)  2 Cu 1.99
O (0.5000, 0.0000, 0.2478)  2 Cu 1.97
O (0.5000, 0.0000, 0.4344)  2 Cu 1.99
O (0.5000, 0.5000, 0.1691)  1 Cu 1.88
O (0.5000, 0.5000, 0.3269)  1 Cu 1.88

## Properties
Polymorph energy (0 for the lowest one) (eV per formula unit): 0.12
Total moment (μB per formula unit): 0.000


A geometry-optimized Ba4PrYCu6O14 structure, computed with PBE-GGA.

a = 3.9047 Å, b = 3.9047 Å, c = 23.7705 Å
α = 90.00°, β = 90.00°, γ = 90.00°
Last column: nearest neighbours and their distance in Å.
Space group P-4m2 (No. 115)
Asymmetric unit:
Ba (0.0000, 0.0000, 0.1584)  10 O 2.77-3.05
Ba (0.0000, 0.0000, 0.3381)  10 O 2.77-3.02
Pr (0.0000, 0.0000, 0.5000)  8 O 2.49-2.50
Y (0.0000, 0.0000, 0.0000)  8 O 2.41-2.43
Cu (0.5000, 0.5000, 0.0731)  4 O 1.97-1.98
Cu (0.5000, 0.5000, 0.2481)  4 O 1.88-1.95
Cu (0.5000, 0.5000, 0.4222)  4 O 1.97-1.98
O (0.0000, 0.5000, 0.0595)  2 Cu 1.98
O (0.0000, 0.5000, 0.2478)  2 Cu 1.95
O (0.0000, 0.5000, 0.4353)  2 Cu 1.98
O (0.0000, 0.5000, 0.5658)  2 Cu 1.97
O (0.0000, 0.5000, 0.9393)  2 Cu 1.97
O (0.5000, 0.5000, 0.1690)  1 Cu 1.88
O (0.5000, 0.5000, 0.3271)  1 Cu 1.88

## Properties
Polymorph energy (0 for the lowest one) (eV per formula unit): 0.13
Total moment (μB per formula unit): 0.000


A geometry-optimized Ba4PrYCu6O14 structure, computed with PBE-GGA.

a = 7.7380 Å, b = 23.7903 Å, c = 3.9351 Å
α = 90.00°, β = 90.00°, γ = 90.00°
Last column: nearest neighbours and their distance in Å.
Space group Cmmm (No. 65)
Asymmetric unit:
Ba (0.0000, 0.1604, 0.0000)  8 O 2.77-2.98
Ba (0.0000, 0.3391, 0.0000)  10 O 2.78-3.07
Pr (0.0000, 0.5000, 0.0000)  8 O 2.49-2.50
Y (0.0000, 0.0000, 0.0000)  8 O 2.39-2.43
Cu (0.2470, 0.0758, 0.5000)  4 O 1.95-1.99
Cu (0.2500, 0.2500, 0.5000)  4 O 1.88-1.97
O (0.0000, 0.0597, 0.5000)  2 Cu 1.95
O (0.0000, 0.4351, 0.5000)  2 Cu 1.97
O (0.2418, 0.0627, 0.0000)  2 Cu 1.99
O (0.2490, 0.1710, 0.5000)  1 Cu 1.88
O (0.2500, 0.2500, 0.0000)  2 Cu 1.97

## Properties
Polymorph energy (0 for the lowest one) (eV per formula unit): 0.00
Total moment (μB per formula unit): 0.000


A geometry-optimized Ba6Pr2YCu12O24 structure, computed with PBE-GGA.

a = 5.5463 Å, b = 8.7696 Å, c = 13.9449 Å
α = 82.79°, β = 84.29°, γ = 71.65°
Last column: nearest neighbours and their distance in Å.
Space group P-1 (No. 2)
Asymmetric unit:
Ba (0.0453, 0.0453, 0.2282)  10 O 2.78-3.01
Ba (0.2871, 0.2880, 0.7745)  10 O 2.78-3.06
Ba (0.3788, 0.3794, 0.2255)  10 O 2.78-3.06
Pr (0.3338, 0.3323, 0.5000)  8 O 2.49-2.51
Y (0.0000, 0.0000, 0.5000)  8 O 2.42-2.43
Cu (0.0952, 0.5963, 0.9263)  4 O 1.85-1.97
Cu (0.1447, 0.6463, 0.6286)  4 O 1.98
Cu (0.1874, 0.6895, 0.3715)  4 O 1.98
Cu (0.2382, 0.7379, 0.0738)  4 O 1.84-1.97
Cu (0.4291, 0.9293, 0.9257)  4 O 1.85-1.97
Cu (0.4790, 0.9787, 0.6270)  4 O 1.98
O (0.0187, 0.5188, 0.3879)  2 Cu 1.98
O (0.0727, 0.5729, 0.0633)  3 Cu 1.89-1.97
O (0.1177, 0.6184, 0.7926)  1 Cu 1.85
O (0.1454, 0.1445, 0.6082)  2 Cu 1.98
O (0.1812, 0.1808, 0.3918)  2 Cu 1.98
O (0.2155, 0.7159, 0.2075)  1 Cu 1.84
O (0.2617, 0.7602, 0.9369)  3 Cu 1.89-1.97
O (0.3078, 0.8196, 0.6074)  2 Cu 1.98
O (0.3435, 0.8556, 0.3927)  2 Cu 1.98
O (0.4072, 0.9059, 0.0628)  3 Cu 1.89-1.96
O (0.4512, 0.9516, 0.7920)  1 Cu 1.85
O (0.4812, 0.4811, 0.6130)  2 Cu 1.98

## Properties
Calculated total energy (eV/atom): -5.9916
Total moment (μB per formula unit): 0.000


A geometry-optimized Ba4PrYCu6O14 structure, computed with PBE-GGA.

a = 3.8712 Å, b = 7.8748 Å, c = 11.8813 Å
α = 90.00°, β = 90.00°, γ = 90.00°
Last column: nearest neighbours and their distance in Å.
Space group Pmmm (No. 47)
Asymmetric unit:
Ba (0.0000, 0.0000, 0.1787)  10 O 2.78-3.10
Ba (0.0000, 0.5000, 0.1799)  10 O 2.77-3.06
Pr (0.0000, 0.0000, 0.5000)  8 O 2.48-2.51
Y (0.0000, 0.5000, 0.5000)  8 O 2.41
Cu (0.5000, 0.2504, 0.0000)  4 O 1.88-1.97
Cu (0.5000, 0.2528, 0.3488)  4 O 1.96-2.01
O (0.0000, 0.2579, 0.3754)  2 Cu 1.96
O (0.5000, 0.0000, 0.0000)  2 Cu 1.97
O (0.5000, 0.0000, 0.3693)  2 Cu 2.01
O (0.5000, 0.2507, 0.1579)  1 Cu 1.88
O (0.5000, 0.5000, 0.0000)  2 Cu 1.97
O (0.5000, 0.5000, 0.3793)  2 Cu 1.98

## Properties
Polymorph energy (0 for the lowest one) (eV per formula unit): 0.11
Total moment (μB per formula unit): 0.000


A geometry-optimized Ba3Cu2PtO8 structure, computed with PBE-GGA.

a = 5.7876 Å, b = 5.7876 Å, c = 7.5624 Å
α = 90.00°, β = 90.00°, γ = 120.00°
Last column: nearest neighbours and their distance in Å.
Space group P-3m1 (No. 164)
Asymmetric unit:
Ba (0.0000, 0.0000, 0.0000)  6 O 2.99
Ba (0.3333, 0.6667, 0.6502)  1 O 2.52
Cu (0.3333, 0.6667, 0.2183)  4 O 1.78-1.94
Pt (0.0000, 0.0000, 0.5000)  6 O 2.04
O (0.1600, 0.3200, 0.3330)  1 Cu 1.94, 1 Pt 2.04
O (0.3333, 0.6667, 0.9834)  1 Cu 1.78

## Properties
Calculated total energy (eV/atom): -5.6270
Total moment (μB per formula unit): 4.121


A geometry-optimized Ba2CuPtO6 structure, computed with PBE-GGA.

a = 5.7641 Å, b = 5.7641 Å, c = 5.2056 Å
α = 90.00°, β = 90.00°, γ = 120.00°
Last column: nearest neighbours and their distance in Å.
Space group P-3m1 (No. 164)
Asymmetric unit:
Ba (0.3333, 0.6667, 0.2315)  9 O 2.89-3.06
Cu (0.0000, 0.0000, 0.0000)  6 O 2.00
Pt (0.0000, 0.0000, 0.5000)  6 O 2.03
O (0.1538, 0.3075, 0.7547)  1 Cu 2.00, 1 Pt 2.03

## Properties
Calculated total energy (eV/atom): -5.7805
Total moment (μB per formula unit): 0.922


A geometry-optimized Ba2CuPt2O6 structure, computed with PBE-GGA.

a = 6.0535 Å, b = 6.0535 Å, c = 16.9814 Å
α = 90.00°, β = 90.00°, γ = 120.00°
Last column: nearest neighbours and their distance in Å.
Space group R-3m (No. 166, hexagonal axes)
Asymmetric unit:
Ba (0.0000, 0.0000, 0.2174)  9 O 2.79-3.09
Cu (0.0000, 0.0000, 0.0000)  6 O 2.10
Pt (0.0000, 0.0000, 0.4103)  3 O 1.93
O (0.0337, 0.5169, 0.7484)  1 Pt 1.93, 1 Cu 2.10

## Properties
Calculated total energy (eV/atom): -5.5810
Total moment (μB per formula unit): 0.000


A geometry-optimized BaCuPtO5 structure, computed with PBE-GGA.

a = 6.9917 Å, b = 9.7666 Å, c = 7.3530 Å
α = 90.00°, β = 112.56°, γ = 90.00°
Last column: nearest neighbours and their distance in Å.
Space group C2/c (No. 15)
Asymmetric unit:
Ba (0.0000, 0.1576, 0.2500)  7 O 2.63-2.83
Cu (0.0000, 0.1939, 0.7500)  4 O 1.88-1.95
Pt (0.0000, 0.5000, 0.0000)  6 O 1.97-2.01
O (0.0000, 0.4269, 0.2500)  2 Pt 1.97
O (0.0957, 0.3113, 0.6001)  1 Cu 1.88, 1 Pt 2.00
O (0.2068, 0.0669, 0.9208)  1 Cu 1.95, 1 Pt 2.01

## Properties
Calculated total energy (eV/atom): -5.5859
Total moment (μB per formula unit): 2.127


A geometry-optimized Ba3Y2Cu2PtO10 structure, computed with PBE-GGA.

a = 12.6038 Å, b = 5.8760 Å, c = 7.5298 Å
α = 90.00°, β = 105.53°, γ = 90.00°
Last column: nearest neighbours and their distance in Å.
Space group C2/m (No. 12)
Asymmetric unit:
Ba (0.0000, 0.0000, 0.0000)  8 O 2.74-2.75
Ba (0.1532, 0.0000, 0.5405)  1 O 2.54
Y (0.1888, 0.5000, 0.8737)  7 O 2.27-2.53
Cu (0.0893, 0.5000, 0.1997)  4 O 1.97-2.08
Pt (0.0000, 0.5000, 0.5000)  6 O 2.04-2.05
O (0.0170, 0.2795, 0.7176)  1 Pt 2.05, 1 Cu 2.08
O (0.1675, 0.5000, 0.5521)  1 Pt 2.04
O (0.1828, 0.2713, 0.1247)  1 Cu 1.97

## Properties
Calculated total energy (eV/atom): -6.7104
Total moment (μB per formula unit): 2.002


A geometry-optimized BaPu2CuO8 structure, computed with PBE-GGA.

a = 5.2588 Å, b = 5.2663 Å, c = 6.9779 Å
α = 88.61°, β = 88.51°, γ = 82.45°
Last column: nearest neighbours and their distance in Å.
Space group P-1 (No. 2)
Asymmetric unit:
Ba (0.0000, 0.0000, 0.0000)  6 O 2.55-2.71
Pu (0.4975, 0.4985, 0.2616)  5 O 1.95-2.17
Cu (0.0000, 0.0000, 0.5000)  4 O 2.10-2.11
O (0.2196, 0.7763, 0.7074)  1 Pu 1.95, 1 Cu 2.11
O (0.2211, 0.7806, 0.2938)  1 Pu 1.95, 1 Cu 2.10
O (0.3370, 0.3367, 0.4959)  2 Pu 2.04-2.17
O (0.3435, 0.3420, 0.9856)  2 Pu 2.10-2.32

## Properties
Calculated total energy (eV/atom): -8.3802
Total moment (μB per formula unit): 2.961


A geometry-optimized Ba3Pu2CuO9 structure, computed with PBE-GGA.

a = 6.0295 Å, b = 6.0295 Å, c = 7.4748 Å
α = 90.00°, β = 90.00°, γ = 120.00°
Last column: nearest neighbours and their distance in Å.
Space group P-3m1 (No. 164)
Asymmetric unit:
Ba (0.0000, 0.0000, 0.0000)  12 O 3.01-3.04
Ba (0.3333, 0.6667, 0.6473)  12 O 2.92-3.16
Pu (0.3333, 0.6667, 0.1720)  6 O 2.07-2.16
Cu (0.0000, 0.0000, 0.5000)  6 O 2.19
O (0.0000, 0.5000, 0.0000)  2 Pu 2.16
O (0.1705, 0.3410, 0.3298)  1 Pu 2.07, 1 Cu 2.19

## Properties
Calculated total energy (eV/atom): -8.1001
Total moment (μB per formula unit): 4.959